No. 1
This record from Alexandria describes a relaxed structure of BaMgI2. The functional is PBE. Values from VASP.

Computed properties:
The energy is -28.05 eV per cell. Its density of states at the Fermi level is 0.6242 states/eV per atom. The calculation puts the total moment at 0.00 μB per formula unit. The value obtained for the volume is 43.34 Å³/atom. The calculation puts the energy above the most stable polymorph in this dataset at 291 meV per atom.

The structure in Quantum ESPRESSO input format:
```
&SYSTEM
  ibrav = 0, nat = 12, ntyp = 3
/
ATOMIC_SPECIES
Ba 137.33 Ba.upf
Mg 24.30 Mg.upf
I 126.90 I.upf
CELL_PARAMETERS angstrom
4.355 0.000 0.000
-2.178 3.772 0.000
0.000 0.000 31.665
ATOMIC_POSITIONS crystal
Ba 0.000 0.000 0.000
Ba 0.333 0.667 0.667
Ba 0.667 0.333 0.333
Mg 0.000 0.000 0.500
Mg 0.333 0.667 0.167
Mg 0.667 0.333 0.833
I 0.000 0.000 0.114
I 0.000 0.000 0.886
I 0.333 0.667 0.553
I 0.333 0.667 0.780
I 0.667 0.333 0.220
I 0.667 0.333 0.447
```



No. 2
This record from Alexandria describes a relaxed structure of BaMg2I6. The functional is PBE. Values from VASP.

Computed properties:
The energy is -25.27 eV per cell. Its density of states at the Fermi level is 0.0000 states/eV per atom. The calculation puts the total moment at 0.00 μB per formula unit. The value obtained for the volume is 49.42 Å³/atom.

The structure in Quantum ESPRESSO input format:
```
&SYSTEM
  ibrav = 0, nat = 9, ntyp = 3
/
ATOMIC_SPECIES
Ba 137.33 Ba.upf
Mg 24.30 Mg.upf
I 126.90 I.upf
CELL_PARAMETERS angstrom
7.743 -2.964 0.000
7.743 2.964 0.000
-2.355 0.000 9.691
ATOMIC_POSITIONS crystal
Ba 0.000 0.000 0.000
Mg 0.235 0.235 0.659
Mg 0.765 0.765 0.341
I 0.068 0.068 0.700
I 0.234 0.234 0.372
I 0.365 0.365 0.908
I 0.635 0.635 0.092
I 0.766 0.766 0.628
I 0.932 0.932 0.300
```